An optimized crystal structure of Ta2AlAu. Source: the Alexandria database, functional GGA-PBE.

Cell lengths 5.2311, 5.2311, 4.1038 Å; angles 66.90, 66.90, 42.11 degrees
Sites, in units of the cell vectors:
Ta: 0.0003 0.0003 0.9996
Au: 0.2500 0.2500 0.2500
Al: 0.7500 0.7500 0.7500
Ta: 0.4997 0.4997 0.5004

Calculated values
energy: -31.60 eV/cell
space group: Immm, No. 71
energy relative to the elements: -0.9 eV per formula unit
magnetic moment: 0.0 μB per formula unit
density of states at the Fermi level: 0.55 states/eV/atom